# Sr2NbCu2O6 (PBE-GGA, optimized geometry)
# Density: 5.1 g cm⁻³
# Symmetry: R-3m
# M_tot: 1.074 μB per cell
# Uncorrected formation energy: -1.945 eV per atom
data_Sr2NbCu2O6
_cell_length_a 5.9448
_cell_length_b 5.9448
_cell_length_c 6.2348
_cell_angle_alpha 61.53
_cell_angle_beta 61.53
_cell_angle_gamma 60.00
_space_group_name_H-M_alt 'P 1'
_space_group_IT_number 1
loop_
_space_group_symop_operation_xyz
'x,y,z'
loop_
_atom_site_label
_atom_site_fract_x
_atom_site_fract_y
_atom_site_fract_z
_atom_site_occupancy
Sr1 0.7846 0.7846 0.6463 1
Sr2 0.2154 0.2154 0.3537 1
Nb1 0.0000 0.0000 0.0000 1
Cu1 0.4181 0.4181 0.7457 1
Cu2 0.5819 0.5819 0.2543 1
O1 0.7666 0.7666 0.2466 1
O2 0.2202 0.7666 0.2466 1
O3 0.7666 0.2202 0.2466 1
O4 0.2334 0.7798 0.7534 1
O5 0.7798 0.2334 0.7534 1
O6 0.2334 0.2334 0.7534 1